1.
LaIr2Rh: optimized geometry, PBE-GGA.

The structure belongs to space group I-42d (No. 122); the cell edges are 4.543, 4.543 and 17.834 Å and the angles 90.00°, 90.00° and 90.00°. The inequivalent atoms are La at (0.000, 0.000, 0.000), Ir at (0.101, 0.250, 0.625) and Rh at (0.000, 0.000, 0.500).

For the energy relative to the lowest polymorph listed for this composition, the calculation gives 174 meV/atom. The calculation puts the formation enthalpy at 0 K at -1.11 kcal/mol of atoms. The value obtained for the spin magnetization is 0.00 μB/cell. The value obtained for the calculated total energy is -7.55 eV/atom. For the density of states at the Fermi level, the calculation gives 15.33 states/eV per cell.

2.
LaIr2Rh4: optimized geometry, PBE-GGA.

The structure belongs to space group C2/m (No. 12); the cell edges are 8.498, 6.679 and 5.256 Å and the angles 90.00°, 128.15° and 90.00°. The inequivalent atoms are La at (0.000, 0.000, 0.000), Ir at (0.001, 0.500, 0.751) and Rh at (0.200, 0.200, 0.700).

The calculation puts the formation enthalpy at 0 K at -5.92 kcal/mol of atoms. The value obtained for the spin magnetization is 0.00 μB/cell. The value obtained for the calculated total energy is -7.69 eV/atom. For the density of states at the Fermi level, the calculation gives 23.79 states/eV per cell.

3.
La3IrRh: optimized geometry, PBE-GGA.

The structure belongs to space group Pm-3m (No. 221); the cell edges are 5.514, 5.514 and 5.514 Å and the angles 90.00°, 90.00° and 90.00°. The inequivalent atoms are La at (0.000, 0.000, 0.500), Ir at (0.000, 0.000, 0.000) and Rh at (0.500, 0.500, 0.500).

For the energy relative to the lowest polymorph listed for this composition, the calculation gives 594 meV/atom. The calculation puts the formation enthalpy at 0 K at -1.79 kcal/mol of atoms. The value obtained for the spin magnetization is 0.00 μB/cell. The value obtained for the calculated total energy is -6.28 eV/atom. For the density of states at the Fermi level, the calculation gives 3.95 states/eV per cell.

4.
LaIr2Rh2: optimized geometry, PBE-GGA.

The structure belongs to space group P4/mbm (No. 127); the cell edges are 7.782, 7.782 and 2.862 Å and the angles 90.00°, 90.00° and 90.00°. The inequivalent atoms are La at (0.000, 0.000, 0.000), Ir at (0.120, 0.380, 0.000) and Rh at (0.178, 0.678, 0.500).

For the energy relative to the lowest polymorph listed for this composition, the calculation gives 99 meV/atom. The calculation puts the formation enthalpy at 0 K at -3.12 kcal/mol of atoms. The value obtained for the spin magnetization is 0.00 μB/cell. The value obtained for the calculated total energy is -7.61 eV/atom. For the density of states at the Fermi level, the calculation gives 21.17 states/eV per cell.

5.
La4IrRh2: optimized geometry, PBE-GGA.

The structure belongs to space group Fdd2 (No. 43); the cell edges are 12.790, 14.851 and 8.496 Å and the angles 90.00°, 90.00° and 90.00°. The inequivalent atoms are La at (0.120, 0.167, 0.000), La at (0.125, 0.167, 0.496), Ir at (0.000, 0.000, 0.003) and Rh at (0.004, 0.249, 0.250).

The calculation puts the formation enthalpy at 0 K at -15.58 kcal/mol of atoms. The value obtained for the spin magnetization is 0.00 μB/cell. The value obtained for the calculated total energy is -6.86 eV/atom. For the density of states at the Fermi level, the calculation gives 36.82 states/eV per cell.

6.
La6IrRh2: optimized geometry, PBE-GGA.

The structure belongs to space group P2_1/c (No. 14); the cell edges are 6.990, 7.480 and 12.356 Å and the angles 90.00°, 120.62° and 90.00°. The inequivalent atoms are La at (0.076, 0.065, 0.247), La at (0.263, 0.680, 0.086), La at (0.398, 0.181, 0.067), Ir at (0.000, 0.000, 0.000) and Rh at (0.328, 0.111, 0.785).

The calculation puts the formation enthalpy at 0 K at -13.19 kcal/mol of atoms. The value obtained for the spin magnetization is 0.00 μB/cell. The value obtained for the calculated total energy is -6.48 eV/atom. For the density of states at the Fermi level, the calculation gives 18.77 states/eV per cell.

7.
LaIrRh3: optimized geometry, PBE-GGA.

The structure belongs to space group Pm-3m (No. 221); the cell edges are 4.793, 4.793 and 4.793 Å and the angles 90.00°, 90.00° and 90.00°. The inequivalent atoms are La at (0.000, 0.000, 0.000), Ir at (0.500, 0.500, 0.500) and Rh at (0.000, 0.500, 0.500).

For the energy relative to the lowest polymorph listed for this composition, the calculation gives 0 meV/atom. The calculation puts the formation enthalpy at 0 K at 8.42 kcal/mol of atoms. The value obtained for the spin magnetization is 0.00 μB/cell. The value obtained for the calculated total energy is -6.80 eV/atom. For the density of states at the Fermi level, the calculation gives 7.17 states/eV per cell.

8.
LaIr2Rh: optimized geometry, PBE-GGA.

The structure belongs to space group P2/m (No. 10); the cell edges are 2.940, 4.775 and 5.318 Å and the angles 90.00°, 103.67° and 90.00°. The inequivalent atoms are La at (0.000, 0.000, 0.000), Ir at (0.349, 0.500, 0.714) and Rh at (0.500, 0.000, 0.500).

For the energy relative to the lowest polymorph listed for this composition, the calculation gives 148 meV/atom. The calculation puts the formation enthalpy at 0 K at -1.71 kcal/mol of atoms. The value obtained for the spin magnetization is 0.00 μB/cell. The value obtained for the calculated total energy is -7.57 eV/atom. For the density of states at the Fermi level, the calculation gives 4.72 states/eV per cell.

9.
La12Ir5Rh2: optimized geometry, PBE-GGA.

The structure belongs to space group C2/m (No. 12); the cell edges are 15.431, 7.909 and 10.117 Å and the angles 90.00°, 107.64° and 90.00°. The inequivalent atoms are La at (0.026, 0.000, 0.324), La at (0.076, 0.500, 0.325), La at (0.133, 0.252, 0.015), La at (0.187, 0.243, 0.646), Ir at (0.000, 0.500, 0.000), Ir at (0.203, 0.000, 0.877), Ir at (0.224, 0.000, 0.459) and Rh at (0.000, 0.286, 0.500).

The calculation puts the formation enthalpy at 0 K at -13.72 kcal/mol of atoms. The value obtained for the spin magnetization is 0.00 μB/cell. The value obtained for the calculated total energy is -6.81 eV/atom. For the density of states at the Fermi level, the calculation gives 28.92 states/eV per cell.

10.
La2IrRh: optimized geometry, PBE-GGA.

The structure belongs to space group R3m (No. 160, hexagonal axes); the cell edges are 4.3882, 4.3882 and 21.8043 Å and the angles 90.00°, 90.00° and 120.00°. The inequivalent atoms are La at (0.0000, 0.0000, 0.0000), La at (0.0000, 0.0000, 0.1678), Ir at (0.0000, 0.0000, 0.7513) and Rh at (0.0000, 0.0000, 0.4162).

The calculation puts the formation enthalpy at 0 K at -12.29 kcal/mol of atoms. The value obtained for the spin magnetization is 0.00 μB/cell. The value obtained for the calculated total energy is -7.05 eV/atom. For the density of states at the Fermi level, the calculation gives 7.71 states/eV per cell.

11.
LaIr2Rh3: optimized geometry, PBE-GGA.

The structure belongs to space group P6/mmm (No. 191); the cell edges are 5.3439, 5.3439 and 4.3462 Å and the angles 90.00°, 90.00° and 120.00°. The inequivalent atoms are La at (0.0000, 0.0000, 0.0000), Ir at (0.3333, 0.6667, 0.0000) and Rh at (0.0000, 0.5000, 0.5000).

For the energy relative to the lowest polymorph listed for this composition, the calculation gives 0 meV/atom. The calculation puts the formation enthalpy at 0 K at -5.77 kcal/mol of atoms. The value obtained for the spin magnetization is 0.00 μB/cell. The value obtained for the calculated total energy is -7.70 eV/atom. For the density of states at the Fermi level, the calculation gives 7.35 states/eV per cell.

12.
La2IrRh: optimized geometry, PBE-GGA.

The structure belongs to space group P4/mmm (No. 123); the cell edges are 4.166, 4.166 and 5.878 Å and the angles 90.00°, 90.00° and 90.00°. The inequivalent atoms are La at (0.000, 0.000, 0.000), La at (0.500, 0.500, 0.500), Ir at (0.000, 0.000, 0.500) and Rh at (0.500, 0.500, 0.000).

The calculation puts the formation enthalpy at 0 K at -13.01 kcal/mol of atoms. The value obtained for the spin magnetization is 0.00 μB/cell. The value obtained for the calculated total energy is -7.08 eV/atom. For the density of states at the Fermi level, the calculation gives 1.70 states/eV per cell.